Nd5Bi2N | PBE-GGA | optimized geometry

The structure in CIF format:
```
data_Nd5Bi2N
_space_group_name_H-M_alt 'C m c m'
_space_group_IT_number 63
_space_group_name_Hall '-C 2c 2'
_cell_length_a 5.9169
_cell_length_b 10.1798
_cell_length_c 15.7769
_cell_angle_alpha 90.00
_cell_angle_beta 90.00
_cell_angle_gamma 90.00
loop_
_atom_site_label
_atom_site_type_symbol
_atom_site_fract_x
_atom_site_fract_y
_atom_site_fract_z
Nd1 Nd 0.0000 0.0896 0.1360
Nd2 Nd 0.0000 0.2505 0.7500
Nd3 Nd 0.0000 0.4093 0.1361
Bi1 Bi 0.0000 0.2509 0.5543
N1 N 0.0000 0.2493 0.2500
```

Nd6Bi2N | PBE-GGA | optimized geometry

The structure in CIF format:
```
data_Nd6Bi2N
_space_group_name_H-M_alt 'A m m 2'
_space_group_IT_number 38
_space_group_name_Hall 'A 2 -2'
_cell_length_a 3.9850
_cell_length_b 14.8219
_cell_length_c 8.8076
_cell_angle_alpha 90.00
_cell_angle_beta 90.00
_cell_angle_gamma 90.00
loop_
_atom_site_label
_atom_site_type_symbol
_atom_site_fract_x
_atom_site_fract_y
_atom_site_fract_z
Nd1 Nd 0.0000 0.0000 0.0000
Nd2 Nd 0.0000 0.1072 0.6498
Nd3 Nd 0.5000 0.0000 0.3451
Nd4 Nd 0.5000 0.2000 0.9599
Bi1 Bi 0.0000 0.1715 0.2592
N1 N 0.5000 0.0000 0.8383
```

Nd6Bi3N | PBE-GGA | optimized geometry

The structure in CIF format:
```
data_Nd6Bi3N
_space_group_name_H-M_alt 'C m c 21'
_space_group_IT_number 36
_space_group_name_Hall 'C 2c -2'
_cell_length_a 12.4052
_cell_length_b 15.0393
_cell_length_c 7.3519
_cell_angle_alpha 90.00
_cell_angle_beta 90.00
_cell_angle_gamma 90.00
loop_
_atom_site_label
_atom_site_type_symbol
_atom_site_fract_x
_atom_site_fract_y
_atom_site_fract_z
Nd1 Nd 0.0000 0.0551 0.0000
Nd2 Nd 0.0000 0.2277 0.5836
Nd3 Nd 0.1542 0.2616 0.0285
Nd4 Nd 0.1636 0.4677 0.5570
Bi1 Bi 0.0000 0.3890 0.2610
Bi2 Bi 0.1665 0.1031 0.3452
N1 N 0.0000 0.2000 0.8943
```

# Nd4Bi2N, optimized geometry, DFT PBE-GGA
# polymorph energy (0 for the lowest one)	0	meV/atom
data_Nd4Bi2N
_space_group_name_H-M_alt 'I 4/m m m'
_space_group_IT_number 139
_space_group_name_Hall '-I 4 2'
_cell_length_a 4.9023
_cell_length_b 4.9023
_cell_length_c 16.8523
_cell_angle_alpha 90.00
_cell_angle_beta 90.00
_cell_angle_gamma 90.00
loop_
_atom_site_label
_atom_site_type_symbol
_atom_site_fract_x
_atom_site_fract_y
_atom_site_fract_z
Nd1 Nd 0.0000 0.0000 0.1597
Nd2 Nd 0.0000 0.5000 0.0000
Bi1 Bi 0.0000 0.0000 0.3558
N1 N 0.0000 0.0000 0.0000

Nd3Bi2N | PBE-GGA | optimized geometry

The structure in CIF format:
```
data_Nd3Bi2N
_space_group_name_H-M_alt 'I m m m'
_space_group_IT_number 71
_space_group_name_Hall '-I 2 2'
_cell_length_a 3.5952
_cell_length_b 6.2417
_cell_length_c 14.9414
_cell_angle_alpha 90.00
_cell_angle_beta 90.00
_cell_angle_gamma 90.00
loop_
_atom_site_label
_atom_site_type_symbol
_atom_site_fract_x
_atom_site_fract_y
_atom_site_fract_z
Nd1 Nd 0.0000 0.0000 0.0000
Nd2 Nd 0.0000 0.0000 0.3871
Bi1 Bi 0.0000 0.5000 0.3158
N1 N 0.0000 0.5000 0.0000
```

Nd5Bi2N2 | PBE-GGA | optimized geometry

The structure in CIF format:
```
data_Nd5Bi2N2
_space_group_name_H-M_alt 'C 1 2/m 1'
_space_group_IT_number 12
_space_group_name_Hall '-C 2y'
_cell_length_a 13.3566
_cell_length_b 5.1587
_cell_length_c 7.5413
_cell_angle_alpha 90.00
_cell_angle_beta 104.21
_cell_angle_gamma 90.00
loop_
_atom_site_label
_atom_site_type_symbol
_atom_site_fract_x
_atom_site_fract_y
_atom_site_fract_z
Nd1 Nd 0.0000 0.0000 0.0000
Nd2 Nd 0.1536 0.0000 0.5881
Nd3 Nd 0.1664 0.5000 0.9271
Bi1 Bi 0.0877 0.5000 0.3111
N1 N 0.1631 0.0000 0.8931
```

Nd12Bi3N5 | PBE-GGA | optimized geometry

The structure in CIF format:
```
data_Nd12Bi3N5
_space_group_name_H-M_alt 'I a -3 d'
_space_group_IT_number 230
_space_group_name_Hall '-I 4bd 2c 3'
_cell_length_a 16.3559
_cell_length_b 16.3559
_cell_length_c 16.3559
_cell_angle_alpha 90.00
_cell_angle_beta 90.00
_cell_angle_gamma 90.00
loop_
_atom_site_label
_atom_site_type_symbol
_atom_site_fract_x
_atom_site_fract_y
_atom_site_fract_z
Nd1 Nd 0.0393 0.0483 0.6468
Bi1 Bi 0.0000 0.2500 0.1250
N1 N 0.0000 0.0000 0.0000
N2 N 0.0000 0.2500 0.3750
```

Nd3BiN | PBE-GGA | optimized geometry

The structure in CIF format:
```
data_Nd3BiN
_space_group_name_H-M_alt 'C 1 2/m 1'
_space_group_IT_number 12
_space_group_name_Hall '-C 2y'
_cell_length_a 16.7970
_cell_length_b 4.1796
_cell_length_c 8.6979
_cell_angle_alpha 90.00
_cell_angle_beta 101.48
_cell_angle_gamma 90.00
loop_
_atom_site_label
_atom_site_type_symbol
_atom_site_fract_x
_atom_site_fract_y
_atom_site_fract_z
Nd1 Nd 0.0362 0.0000 0.3298
Nd2 Nd 0.1606 0.0000 0.9514
Nd3 Nd 0.1664 0.5000 0.6217
Bi1 Bi 0.1772 0.5000 0.2420
N1 N 0.0911 0.0000 0.6006
```

| no. | formation energy from raw total energies (eV/atom) |
| --- | --- |
| 1 | -0.633 |
| 2 | -0.474 |
| 3 | -0.712 |
| 4 | -0.903 |
| 5 | -0.846 |
| 6 | -0.905 |
| 7 | -0.854 |
| 8 | -0.798 |